one) {"formula": "NdNpBi2", "functional": "PBE", "state": "optimized geometry", "total_magnetization_mub_per_atom": 1.178, "space_group": "Fm-3m, No. 225", "dos_ef_per_ev_cell": 15.0, "cell": [[-2.8665, -3.4683, 3.2440], [2.3520, -2.1195, 4.5548], [-1.6879, 1.6533, 5.0187]], "species": ["Bi", "Bi", "Np", "Nd"], "fractional_positions": [[0.2500, 0.2500, 0.2500], [0.7500, 0.7500, 0.7500], [0.0000, 0.0000, 0.0000], [0.5000, 0.5000, 0.5000]]}

***

two) {"formula": "NdNpBi2", "functional": "PBE", "state": "optimized geometry", "total_magnetization_mub_per_atom": 1.165, "space_group": "P4/mmm, No. 123", "dos_ef_per_ev_cell": 12.1, "cell": [[-1.2706, -2.5050, -1.8886], [4.7776, 0.2351, -3.5261], [2.7408, -3.9895, 3.4476]], "species": ["Nd", "Bi", "Bi", "Np"], "fractional_positions": [[0.5000, 0.5000, 0.5000], [0.0000, 0.0000, 0.5000], [0.0000, 0.5000, 0.0000], [0.5000, 0.0000, 0.0000]]}

***

three) {"formula": "NdNpBi2", "functional": "PBE", "state": "optimized geometry", "total_magnetization_mub_per_atom": 1.190, "space_group": "R-3m, No. 166", "dos_ef_per_ev_cell": 8.9, "cell": [[3.4622, 0.0000, 0.0000], [1.7311, 2.9984, 0.0000], [1.7311, 0.9995, 12.0844]], "species": ["Bi", "Bi", "Np", "Nd"], "fractional_positions": [[0.0906, 0.0906, 0.7281], [0.9094, 0.9094, 0.2719], [0.5000, 0.5000, 0.5000], [0.0000, 0.0000, 0.0000]]}

***

Most stable structure: two)

***

one) {"formula": "NdBi3O6", "functional": "PBE", "state": "optimized geometry", "total_magnetization_mub_per_atom": 0.000, "space_group": "R3, No. 146", "dos_ef_per_ev_cell": 0.0, "cell": [[-4.8153, -3.7018, 1.4849], [1.0189, -5.4360, 2.9167], [-1.6698, -0.7372, 5.9114]], "species": ["Nd", "O", "O", "O", "O", "O", "O", "Bi", "Bi", "Bi"], "fractional_positions": [[0.8656, 0.8656, 0.4033], [0.5288, 0.2256, 0.2484], [0.2256, 0.9971, 0.2484], [0.4740, 0.7523, 0.7625], [0.7523, 0.0111, 0.7625], [0.0111, 0.4740, 0.7625], [0.9971, 0.5288, 0.2484], [0.3587, 0.3587, 0.9240], [0.6457, 0.6457, 0.0629], [0.1410, 0.1410, 0.5769]]}

***

two) {"formula": "NdBi3O6", "functional": "PBE", "state": "optimized geometry", "total_magnetization_mub_per_atom": 0.000, "space_group": "P2_1/c, No. 14", "dos_ef_per_ev_cell": 0.0, "cell": [[-5.0003, 0.1835, 3.2317], [2.6779, -3.9500, 4.3677], [3.0439, 6.8901, 4.3649]], "species": ["Nd", "Nd", "O", "O", "O", "O", "O", "O", "O", "O", "O", "O", "O", "O", "Bi", "Bi", "Bi", "Bi", "Bi", "Bi"], "fractional_positions": [[0.5000, 0.5000, 0.5000], [0.0000, 0.0000, 0.0000], [0.8427, 0.6734, 0.5701], [0.8416, 0.6780, 0.9245], [0.3387, 0.5675, 0.7496], [0.1573, 0.3266, 0.4299], [0.6573, 0.1734, 0.9299], [0.8387, 0.9325, 0.2496], [0.3427, 0.8266, 0.0701], [0.6613, 0.4325, 0.2504], [0.1613, 0.0675, 0.7504], [0.6584, 0.1780, 0.5755], [0.1584, 0.3220, 0.0755], [0.3416, 0.8220, 0.4245], [0.0000, 0.0000, 0.5000], [0.4883, 0.0283, 0.2487], [0.5117, 0.9717, 0.7513], [0.0117, 0.5283, 0.2513], [0.5000, 0.5000, 0.0000], [0.9883, 0.4717, 0.7487]]}

***

Most stable structure: one)

***

one) {"formula": "Nd3BiO6", "functional": "PBE", "state": "optimized geometry", "total_magnetization_mub_per_atom": 0.000, "space_group": "R-3, No. 148", "dos_ef_per_ev_cell": 0.0, "cell": [[7.0524, -0.0254, -0.1780], [-0.1819, 7.0501, -0.1780], [-0.0249, -0.0254, 7.0546]], "species": ["O", "O", "O", "O", "O", "O", "O", "O", "O", "O", "O", "O", "Nd", "Nd", "Nd", "Nd", "Nd", "Nd", "Bi", "Bi"], "fractional_positions": [[0.3177, 0.9008, 0.0698], [0.0698, 0.3177, 0.9008], [0.8202, 0.4728, 0.6044], [0.0992, 0.9302, 0.6823], [0.3956, 0.1798, 0.5272], [0.9008, 0.0698, 0.3177], [0.4728, 0.6044, 0.8202], [0.1798, 0.5272, 0.3956], [0.5272, 0.3956, 0.1798], [0.6823, 0.0992, 0.9302], [0.9302, 0.6823, 0.0992], [0.6044, 0.8202, 0.4728], [0.5555, 0.0642, 0.2518], [0.4445, 0.9358, 0.7482], [0.7482, 0.4445, 0.9358], [0.9358, 0.7482, 0.4445], [0.0642, 0.2518, 0.5555], [0.2518, 0.5555, 0.0642], [0.5000, 0.5000, 0.5000], [0.0000, 0.0000, 0.0000]]}

***

two) {"formula": "Nd3BiO6", "functional": "PBE", "state": "optimized geometry", "total_magnetization_mub_per_atom": 0.000, "space_group": "Cmc2_1, No. 36", "dos_ef_per_ev_cell": 0.0, "cell": [[5.9977, 0.0000, 0.0000], [0.0000, 7.5085, -0.0147], [0.0000, -1.6899, 7.3158]], "species": ["O", "O", "O", "O", "O", "O", "O", "O", "O", "O", "O", "O", "Bi", "Bi", "Nd", "Nd", "Nd", "Nd", "Nd", "Nd"], "fractional_positions": [[0.7344, 0.9796, 0.0204], [0.1051, 0.7775, 0.2225], [0.6874, 0.5737, 0.1001], [0.2344, 0.0204, 0.9796], [0.1874, 0.1001, 0.5737], [0.6051, 0.2225, 0.7775], [0.6984, 0.3222, 0.3540], [0.1874, 0.4263, 0.8999], [0.6874, 0.8999, 0.4263], [0.6984, 0.6460, 0.6778], [0.1984, 0.6778, 0.6460], [0.1984, 0.3540, 0.3222], [0.4935, 0.8257, 0.1743], [0.9935, 0.1743, 0.8257], [0.4765, 0.9105, 0.6974], [0.4276, 0.3998, 0.6002], [0.4765, 0.3026, 0.0895], [0.9276, 0.6002, 0.3998], [0.9765, 0.0895, 0.3026], [0.9765, 0.6974, 0.9105]]}

***

Most stable structure: one)

***

one) {"formula": "Nd2BiO", "functional": "PBE", "state": "optimized geometry", "total_magnetization_mub_per_atom": 0.000, "space_group": "R-3m, No. 166", "dos_ef_per_ev_cell": 1.9, "cell": [[3.7887, 0.0000, 0.0000], [1.8943, 3.2811, 0.0000], [1.8943, 1.0937, 7.6921]], "species": ["Nd", "Nd", "O", "Bi"], "fractional_positions": [[0.2764, 0.2764, 0.1709], [0.7236, 0.7236, 0.8291], [0.0000, 0.0000, 0.0000], [0.5000, 0.5000, 0.5000]]}

***

two) {"formula": "Nd2BiO", "functional": "PBE", "state": "optimized geometry", "total_magnetization_mub_per_atom": 0.000, "space_group": "P4/nmm, No. 129", "dos_ef_per_ev_cell": 3.3, "cell": [[4.6886, 0.0000, -0.0032], [0.0000, 4.6886, -0.0032], [0.0041, 0.0041, 9.2143]], "species": ["Bi", "Bi", "O", "O", "Nd", "Nd", "Nd", "Nd"], "fractional_positions": [[0.2502, 0.2502, 0.7984], [0.7498, 0.7498, 0.2016], [0.2499, 0.2499, 0.4227], [0.7501, 0.7501, 0.5773], [0.7500, 0.2500, 0.5000], [0.7503, 0.7503, 0.8404], [0.2497, 0.2497, 0.1596], [0.2500, 0.7500, 0.5000]]}

***

Most stable structure: two)

***

one) {"formula": "Nd2BiPb", "functional": "PBE", "state": "optimized geometry", "total_magnetization_mub_per_atom": 0.048, "space_group": "P4/mmm, No. 123", "dos_ef_per_ev_cell": 4.3, "cell": [[-0.3762, 3.3497, 2.5247], [-4.0669, -0.9119, 0.6039], [1.7085, -3.9659, 5.5166]], "species": ["Nd", "Nd", "Bi", "Pb"], "fractional_positions": [[0.0000, 0.0000, 0.2489], [0.0000, 0.0000, 0.7511], [0.5000, 0.5000, 0.0000], [0.5000, 0.5000, 0.5000]]}

***

two) {"formula": "Nd2BiPb", "functional": "PBE", "state": "optimized geometry", "total_magnetization_mub_per_atom": 0.000, "space_group": "R3m, No. 160", "dos_ef_per_ev_cell": 2.2, "cell": [[-1.9428, -3.8073, -0.9371], [2.0859, -3.7687, 0.7705], [-3.2297, -2.7574, 7.6824]], "species": ["Pb", "Bi", "Nd", "Nd"], "fractional_positions": [[0.4988, 0.4988, 0.5036], [0.6679, 0.6679, 0.9963], [0.2547, 0.2547, 0.2360], [0.0786, 0.0786, 0.7641]]}

***

three) {"formula": "Nd2BiPb", "functional": "PBE", "state": "optimized geometry", "total_magnetization_mub_per_atom": 0.000, "space_group": "R-3m, No. 166", "dos_ef_per_ev_cell": 1.7, "cell": [[4.4805, -0.0014, -0.0047], [-2.2402, 3.8803, 0.0047], [-2.2358, -1.2951, 7.8784]], "species": ["Nd", "Nd", "Pb", "Bi"], "fractional_positions": [[0.4969, 0.7485, 0.2454], [0.5030, 0.2515, 0.7545], [0.0000, 0.5000, 0.5000], [0.0000, 0.0000, 0.0000]]}

***

four) {"formula": "Nd2BiPb", "functional": "PBE", "state": "optimized geometry", "total_magnetization_mub_per_atom": 0.001, "space_group": "Fm-3m, No. 225", "dos_ef_per_ev_cell": 6.5, "cell": [[5.6242, 0.0000, 0.0000], [2.8121, 4.8707, 0.0000], [2.8121, 1.6236, 4.5921]], "species": ["Bi", "Nd", "Nd", "Pb"], "fractional_positions": [[0.0000, 0.0000, 0.0000], [0.7500, 0.7500, 0.7500], [0.2500, 0.2500, 0.2500], [0.5000, 0.5000, 0.5000]]}

***

Most stable structure: three)